[1]
Density functional theory data (PBEsol) for CsBeRe3 after structural relaxation.

- Raw total energy: -6.8214 eV/atom

```
5
Lattice="4.362 0.000 0.000 0.000 4.362 0.000 0.000 0.000 4.362" Properties=species:S:1:pos:R:3 pbc="T T T"
Cs 0.000 0.000 0.000
Be 2.181 2.181 2.181
Re 0.000 2.181 2.181
Re 2.181 0.000 2.181
Re 2.181 2.181 0.000
```

[2]
Density functional theory data (PBEsol) for Ba2WF2 after structural relaxation.

- Formation energy from raw total energies: -1.06 eV per atom
- Raw total energy: -5.4483 eV/atom

```
5
Lattice="-2.807 2.807 4.035 2.807 -2.807 4.035 2.807 2.807 -4.035" Properties=species:S:1:pos:R:3 pbc="T T T"
Ba 2.807 0.000 2.018
Ba 0.000 2.807 2.018
W 0.000 0.000 0.000
F 0.000 0.000 2.067
F 0.000 0.000 6.003
```

[3]
Density functional theory data (PBEsol) for LaZnCu2 after structural relaxation.

- Raw total energy: -4.0593 eV/atom

```
4
Lattice="2.103 1.214 4.896 -2.103 1.214 4.896 0.000 -2.428 4.896" Properties=species:S:1:pos:R:3 pbc="T T T"
La 0.000 0.000 0.000
Zn 0.000 0.000 2.953
Cu 0.000 0.000 7.193
Cu 0.000 0.000 11.755
```

Number 1: calculated density 14.02 Mg/m³. Number 2: calculated density 6.48 Mg/m³. Number 3: calculated density 7.34 Mg/m³.